Material: BeCu2
Method: DFT, PBEsol
State: optimized geometry

Cell: 2.482 2.482 5.948 Å, 77.96 77.96 60.00°
Positions (direct):
Cu 0.228 0.228 0.317
Cu 0.772 0.772 0.683
Be 0.000 0.000 0.000

Calculated values
- calculated volume (Å³/f.u.) = 30.79
- ΔE_f (eV/atom) = -0.006
- electronic total energy (eV per cell) = -12.69
- spin magnetization (μB/cell) = 0.000